No. 1
The following is a DFT calculation (GGA-PBE) of a geometry-optimized K2NaGaBr6 structure.

Cell: 7.1712 7.5289 7.5289 Å, 120.00 90.00 90.00°
Atoms (fractional coordinates):
K 0.1496 0.3333 0.6667
K 0.8504 0.6667 0.3333
Na 0.5000 0.0000 0.0000
Ga 0.0000 0.0000 0.0000
Br 0.7898 0.1611 0.3222
Br 0.7898 0.1611 0.8389
Br 0.7898 0.6778 0.8389
Br 0.2102 0.8389 0.1611
Br 0.2102 0.3222 0.1611
Br 0.2102 0.8389 0.6778

Computed properties:
Formation energy without anion corrections ... -1.29 eV/atom
Excess energy over the best structure of this formula in the dataset ... 0.000 eV/atom
SG ... P-3m1
Calculated total energy ... -2.9515 eV/atom

=====

No. 2
The following is a DFT calculation (GGA-PBE) of a geometry-optimized CeMnH structure.

Cell: 3.9609 3.0898 6.8706 Å, 77.01 90.00 90.00°
Atoms (fractional coordinates):
H 0.2500 0.0881 0.8238
H 0.7500 0.9119 0.1762
Mn 0.7500 0.7708 0.4584
Mn 0.2500 0.2292 0.5416
Ce 0.2500 0.3927 0.2145
Ce 0.7500 0.6073 0.7855

Computed properties:
SG ... Cmcm
Calculated total energy ... -6.1863 eV/atom

=====

No. 3
The following is a DFT calculation (GGA-PBE) of a geometry-optimized Cs2AlTlAs2 structure.

Cell: 6.7430 7.6205 9.6588 Å, 113.23 110.43 90.00°
Atoms (fractional coordinates):
Cs 0.6718 0.9302 0.3436
Cs 0.1718 0.4134 0.3436
Cs 0.8282 0.5866 0.6564
Cs 0.3282 0.0698 0.6564
Al 0.7500 0.5000 0.0000
Al 0.2500 0.5000 0.0000
Tl 0.2500 0.0000 0.0000
Tl 0.7500 0.0000 0.0000
As 0.4141 0.5896 0.8282
As 0.5859 0.4104 0.1718
As 0.0859 0.7614 0.1718
As 0.9141 0.2386 0.8282

Computed properties:
Energy of formation from the pure elements ... -404 meV/atom
SG ... Ibam
Calculated total energy ... -3.2564 eV/atom

=====

No. 4
The following is a DFT calculation (GGA-PBE) of a geometry-optimized TiVPbI2 structure.

Cell: 5.4848 4.8779 5.4848 Å, 90.00 90.00 90.00°
Atoms (fractional coordinates):
Pb 0.5000 0.5000 0.5000
I 0.0000 0.0000 0.5000
I 0.5000 0.0000 0.0000
Ti 0.0000 0.0000 0.0000
V 0.0000 0.5000 0.0000

Computed properties:
Formation energy without anion corrections ... 0.63 eV/atom
SG ... P4/mmm
Calculated total energy ... -4.1295 eV/atom